Record 1
Material: LaCdRe2
Method: DFT, PBE
State: relaxed

```
data_LaCdRe2
_cell_length_a 3.333
_cell_length_b 5.110
_cell_length_c 10.266
_cell_angle_alpha 90.00
_cell_angle_beta 90.00
_cell_angle_gamma 90.00
_space_group_name_H-M_alt 'I m m 2'
_space_group_IT_number 44
_space_group_name_Hall 'I 2 -2'
loop_
_atom_site_label
_atom_site_type_symbol
_atom_site_fract_x
_atom_site_fract_y
_atom_site_fract_z
La1 La 0.000 0.000 0.000
Cd1 Cd 0.000 0.500 0.211
Re1 Re 0.000 0.000 0.461
Re2 Re 0.000 0.500 0.788
```

Properties
calculated formation energy	507	meV per atom
theoretical density	11846	kg/m³

***

Record 2
Material: Pm4Dy2Ho3
Method: DFT, PBE
State: relaxed

```
data_Pm4Dy2Ho3
_cell_length_a 15.218
_cell_length_b 5.066
_cell_length_c 8.009
_cell_angle_alpha 90.00
_cell_angle_beta 108.50
_cell_angle_gamma 90.00
_space_group_name_H-M_alt 'C 1 2/m 1'
_space_group_IT_number 12
_space_group_name_Hall '-C 2y'
loop_
_atom_site_label
_atom_site_type_symbol
_atom_site_fract_x
_atom_site_fract_y
_atom_site_fract_z
Pm1 Pm 0.054 0.000 0.332
Pm2 Pm 0.223 0.500 0.333
Dy1 Dy 0.167 0.000 0.000
Ho1 Ho 0.000 0.500 0.000
Ho2 Ho 0.111 0.500 0.669
```

Properties
calculated formation energy	18	meV per atom
theoretical density	7940	kg/m³
energy above the lowest structure with this stoichiometry	0.00	eV per formula unit

***

Record 3
Material: LaAlCu2
Method: DFT, PBE
State: relaxed

```
data_LaAlCu2
_cell_length_a 4.061
_cell_length_b 4.426
_cell_length_c 4.712
_cell_angle_alpha 90.00
_cell_angle_beta 106.34
_cell_angle_gamma 90.00
_space_group_name_H-M_alt 'P 1 m 1'
_space_group_IT_number 6
_space_group_name_Hall 'P -2y'
loop_
_atom_site_label
_atom_site_type_symbol
_atom_site_fract_x
_atom_site_fract_y
_atom_site_fract_z
La1 La 0.000 0.000 0.000
Al1 Al 0.668 0.500 0.373
Cu1 Cu 0.378 0.500 0.767
Cu2 Cu 0.449 0.000 0.534
```

Properties
calculated formation energy	-137	meV per atom
theoretical density	5986	kg/m³

***

Record 4
Material: PtS4O
Method: DFT, PBE
State: relaxed

```
data_PtS4O
_cell_length_a 5.622
_cell_length_b 7.059
_cell_length_c 7.074
_cell_angle_alpha 80.86
_cell_angle_beta 85.83
_cell_angle_gamma 86.83
_space_group_name_H-M_alt 'P -1'
_space_group_IT_number 2
_space_group_name_Hall '-P 1'
loop_
_atom_site_label
_atom_site_type_symbol
_atom_site_fract_x
_atom_site_fract_y
_atom_site_fract_z
Pt1 Pt 0.000 0.000 0.000
Pt2 Pt 0.500 0.500 0.500
S1 S 0.003 0.183 0.246
S2 S 0.106 0.462 0.609
S3 S 0.391 0.891 0.038
S4 S 0.495 0.253 0.318
O1 O 0.252 0.314 0.187
```

Properties
ΔE_f (raw)	-0.018	eV/atom
theoretical density	4081	kg/m³

***

Record 5
Material: In5Pb3Br12
Method: DFT, PBE
State: relaxed

```
data_In5Pb3Br12
_cell_length_a 18.351
_cell_length_b 18.351
_cell_length_c 18.351
_cell_angle_alpha 90.00
_cell_angle_beta 90.00
_cell_angle_gamma 90.00
_space_group_name_H-M_alt 'I a -3 d'
_space_group_IT_number 230
_space_group_name_Hall '-I 4bd 2c 3'
loop_
_atom_site_label
_atom_site_type_symbol
_atom_site_fract_x
_atom_site_fract_y
_atom_site_fract_z
In1 In 0.000 0.000 0.000
In2 In 0.000 0.250 0.375
Pb1 Pb 0.000 0.250 0.125
Br1 Br 0.020 0.081 0.649
```

Properties
ΔE_f (raw)	-0.631	eV/atom
theoretical density	4631	kg/m³
energy above the lowest structure with this stoichiometry	2.42	eV per formula unit

***

Record 6
Material: PmPuAl2
Method: DFT, PBE
State: relaxed

```
data_PmPuAl2
_cell_length_a 4.769
_cell_length_b 4.769
_cell_length_c 4.237
_cell_angle_alpha 90.00
_cell_angle_beta 90.00
_cell_angle_gamma 90.00
_space_group_name_H-M_alt 'P 4/m m m'
_space_group_IT_number 123
_space_group_name_Hall '-P 4 2'
loop_
_atom_site_label
_atom_site_type_symbol
_atom_site_fract_x
_atom_site_fract_y
_atom_site_fract_z
Pm1 Pm 0.000 0.000 0.000
Pu1 Pu 0.500 0.500 0.000
Al1 Al 0.000 0.500 0.500
```

Properties
calculated formation energy	-181	meV per atom
theoretical density	7632	kg/m³
energy above the lowest structure with this stoichiometry	0.15	eV per formula unit

***

Record 7
Material: AsOsSe2O
Method: DFT, PBE
State: relaxed

```
data_AsOsSe2O
_cell_length_a 4.356
_cell_length_b 4.356
_cell_length_c 4.223
_cell_angle_alpha 90.00
_cell_angle_beta 90.00
_cell_angle_gamma 90.00
_space_group_name_H-M_alt 'P 4/m m m'
_space_group_IT_number 123
_space_group_name_Hall '-P 4 2'
loop_
_atom_site_label
_atom_site_type_symbol
_atom_site_fract_x
_atom_site_fract_y
_atom_site_fract_z
As1 As 0.000 0.000 0.000
Os1 Os 0.500 0.500 0.000
Se1 Se 0.000 0.500 0.500
O1 O 0.000 0.000 0.500
```

Properties
ΔE_f (raw)	0.906	eV/atom
theoretical density	9100	kg/m³
energy above the lowest structure with this stoichiometry	0.00	eV per formula unit

***

Record 8
Material: ZrNiSeN2
Method: DFT, PBE
State: relaxed

```
data_ZrNiSeN2
_cell_length_a 3.852
_cell_length_b 3.852
_cell_length_c 4.490
_cell_angle_alpha 90.00
_cell_angle_beta 90.00
_cell_angle_gamma 90.00
_space_group_name_H-M_alt 'P 4/m m m'
_space_group_IT_number 123
_space_group_name_Hall '-P 4 2'
loop_
_atom_site_label
_atom_site_type_symbol
_atom_site_fract_x
_atom_site_fract_y
_atom_site_fract_z
Zr1 Zr 0.000 0.000 0.000
Ni1 Ni 0.500 0.500 0.500
Se1 Se 0.500 0.500 0.000
N1 N 0.000 0.500 0.500
```

Properties
ΔE_f (raw)	0.553	eV/atom
theoretical density	6402	kg/m³
energy above the lowest structure with this stoichiometry	0.00	eV per formula unit

***

Record 9
Material: KTmS2O6
Method: DFT, PBE
State: relaxed

```
data_KTmS2O6
_cell_length_a 5.3027
_cell_length_b 5.3027
_cell_length_c 20.1766
_cell_angle_alpha 90.00
_cell_angle_beta 90.00
_cell_angle_gamma 120.00
_space_group_name_H-M_alt 'R -3'
_space_group_IT_number 148
_space_group_name_Hall '-R 3'
loop_
_atom_site_label
_atom_site_type_symbol
_atom_site_fract_x
_atom_site_fract_y
_atom_site_fract_z
K1 K 0.0000 0.0000 0.0000
Tm1 Tm 0.0000 0.0000 0.5000
S1 S 0.0000 0.0000 0.2617
O1 O 0.0434 0.4282 0.8988
```

Properties
ΔE_f (raw)	-2.031	eV/atom
theoretical density	3733	kg/m³

***

Record 10
Material: Sr3SbBr
Method: DFT, PBE
State: relaxed

```
data_Sr3SbBr
_cell_length_a 6.353
_cell_length_b 6.353
_cell_length_c 6.353
_cell_angle_alpha 90.00
_cell_angle_beta 90.00
_cell_angle_gamma 90.00
_space_group_name_H-M_alt 'P m -3 m'
_space_group_IT_number 221
_space_group_name_Hall '-P 4 2 3'
loop_
_atom_site_label
_atom_site_type_symbol
_atom_site_fract_x
_atom_site_fract_y
_atom_site_fract_z
Sr1 Sr 0.000 0.000 0.500
Sb1 Sb 0.000 0.000 0.000
Br1 Br 0.500 0.500 0.500
```

Properties
ΔE_f (raw)	-0.655	eV/atom
theoretical density	3008	kg/m³
energy above the lowest structure with this stoichiometry	0.00	eV per formula unit

***

Record 11
Material: PaBi2I8
Method: DFT, PBE
State: relaxed

```
data_PaBi2I8
_cell_length_a 13.731
_cell_length_b 11.981
_cell_length_c 8.372
_cell_angle_alpha 90.00
_cell_angle_beta 109.18
_cell_angle_gamma 90.00
_space_group_name_H-M_alt 'C 1 2/m 1'
_space_group_IT_number 12
_space_group_name_Hall '-C 2y'
loop_
_atom_site_label
_atom_site_type_symbol
_atom_site_fract_x
_atom_site_fract_y
_atom_site_fract_z
Pa1 Pa 0.000 0.000 0.000
Bi1 Bi 0.168 0.000 0.553
I1 I 0.046 0.175 0.776
I2 I 0.130 0.500 0.210
I3 I 0.230 0.000 0.236
```

Properties
ΔE_f (raw)	-0.476	eV/atom
theoretical density	4249	kg/m³

***

Record 12
Material: NaReP3
Method: DFT, PBE
State: relaxed

```
data_NaReP3
_cell_length_a 4.552
_cell_length_b 4.552
_cell_length_c 4.552
_cell_angle_alpha 90.00
_cell_angle_beta 90.00
_cell_angle_gamma 90.00
_space_group_name_H-M_alt 'P m -3 m'
_space_group_IT_number 221
_space_group_name_Hall '-P 4 2 3'
loop_
_atom_site_label
_atom_site_type_symbol
_atom_site_fract_x
_atom_site_fract_y
_atom_site_fract_z
Na1 Na 0.000 0.000 0.000
Re1 Re 0.500 0.500 0.500
P1 P 0.000 0.000 0.500
```

Properties
calculated formation energy	2276	meV per atom
theoretical density	5318	kg/m³
energy above the lowest structure with this stoichiometry	9.79	eV per formula unit

***

Record 13
Material: Ba4InSi2
Method: DFT, PBE
State: relaxed

```
data_Ba4InSi2
_cell_length_a 4.215
_cell_length_b 12.443
_cell_length_c 23.780
_cell_angle_alpha 90.00
_cell_angle_beta 90.00
_cell_angle_gamma 90.00
_space_group_name_H-M_alt 'C m c m'
_space_group_IT_number 63
_space_group_name_Hall '-C 2c 2'
loop_
_atom_site_label
_atom_site_type_symbol
_atom_site_fract_x
_atom_site_fract_y
_atom_site_fract_z
Ba1 Ba 0.000 0.000 0.000
Ba2 Ba 0.000 0.267 0.126
Ba3 Ba 0.000 0.465 0.750
In1 In 0.000 0.185 0.750
Si1 Si 0.000 0.290 0.518
```

Properties
ΔE_f (raw)	-0.237	eV/atom
theoretical density	3836	kg/m³

***

Record 14
Material: TcSnHF
Method: DFT, PBE
State: relaxed

```
data_TcSnHF
_cell_length_a 2.889
_cell_length_b 2.889
_cell_length_c 9.437
_cell_angle_alpha 90.18
_cell_angle_beta 90.06
_cell_angle_gamma 115.95
_space_group_name_H-M_alt 'P 1'
_space_group_IT_number 1
_space_group_name_Hall 'P 1'
loop_
_atom_site_label
_atom_site_type_symbol
_atom_site_fract_x
_atom_site_fract_y
_atom_site_fract_z
Tc1 Tc 0.000 0.000 0.000
Sn1 Sn 0.357 0.637 0.762
H1 H 0.759 0.253 0.344
F1 F 0.952 0.061 0.358
```

Properties
theoretical density	5550	kg/m³
energy above the lowest structure with this stoichiometry	0.85	eV per formula unit

***

Record 15
Material: Nd12SmY7
Method: DFT, PBE
State: relaxed

```
data_Nd12SmY7
_cell_length_a 18.9218
_cell_length_b 18.9218
_cell_length_c 6.8569
_cell_angle_alpha 90.00
_cell_angle_beta 90.00
_cell_angle_gamma 120.00
_space_group_name_H-M_alt 'R -3'
_space_group_IT_number 148
_space_group_name_Hall '-R 3'
loop_
_atom_site_label
_atom_site_type_symbol
_atom_site_fract_x
_atom_site_fract_y
_atom_site_fract_z
Nd1 Nd 0.0010 0.7884 0.2825
Nd2 Nd 0.0063 0.4714 0.7424
Sm1 Sm 0.0000 0.0000 0.0000
Y1 Y 0.0000 0.0000 0.5000
Y2 Y 0.0068 0.8518 0.7733
```

Properties
calculated formation energy	284	meV per atom
theoretical density	5866	kg/m³
energy above the lowest structure with this stoichiometry	3.74	eV per formula unit

***

Record 16
Material: Hf3ScSb
Method: DFT, PBE
State: relaxed

```
data_Hf3ScSb
_cell_length_a 5.025
_cell_length_b 5.025
_cell_length_c 5.025
_cell_angle_alpha 90.00
_cell_angle_beta 90.00
_cell_angle_gamma 90.00
_space_group_name_H-M_alt 'P m -3 m'
_space_group_IT_number 221
_space_group_name_Hall '-P 4 2 3'
loop_
_atom_site_label
_atom_site_type_symbol
_atom_site_fract_x
_atom_site_fract_y
_atom_site_fract_z
Hf1 Hf 0.000 0.000 0.500
Sc1 Sc 0.000 0.000 0.000
Sb1 Sb 0.500 0.500 0.500
```

Properties
ΔE_f (raw)	1.126	eV/atom
theoretical density	9189	kg/m³
energy above the lowest structure with this stoichiometry	1.90	eV per formula unit

***

Record 17
Material: Li2CuMo
Method: DFT, PBE
State: relaxed

```
data_Li2CuMo
_cell_length_a 2.520
_cell_length_b 4.718
_cell_length_c 9.606
_cell_angle_alpha 90.00
_cell_angle_beta 90.00
_cell_angle_gamma 90.00
_space_group_name_H-M_alt 'I m m m'
_space_group_IT_number 71
_space_group_name_Hall '-I 2 2'
loop_
_atom_site_label
_atom_site_type_symbol
_atom_site_fract_x
_atom_site_fract_y
_atom_site_fract_z
Li1 Li 0.000 0.000 0.230
Cu1 Cu 0.000 0.500 0.500
Mo1 Mo 0.000 0.500 0.000
```

Properties
calculated formation energy	309	meV per atom
theoretical density	5040	kg/m³
energy above the lowest structure with this stoichiometry	0.44	eV per formula unit

***

Record 18
Material: YTmMnZn
Method: DFT, PBE
State: relaxed

```
data_YTmMnZn
_cell_length_a 7.052
_cell_length_b 7.052
_cell_length_c 7.052
_cell_angle_alpha 90.00
_cell_angle_beta 90.00
_cell_angle_gamma 90.00
_space_group_name_H-M_alt 'F -4 3 m'
_space_group_IT_number 216
_space_group_name_Hall 'F -4 2 3'
loop_
_atom_site_label
_atom_site_type_symbol
_atom_site_fract_x
_atom_site_fract_y
_atom_site_fract_z
Y1 Y 0.000 0.000 0.000
Tm1 Tm 0.000 0.000 0.500
Mn1 Mn 0.250 0.250 0.250
Zn1 Zn 0.250 0.250 0.750
```

Properties
calculated formation energy	-50	meV per atom
theoretical density	7162	kg/m³

***

Record 19
Material: Pr2Cd15Hg2
Method: DFT, PBE
State: relaxed

```
data_Pr2Cd15Hg2
_cell_length_a 10.1559
_cell_length_b 10.1559
_cell_length_c 14.9547
_cell_angle_alpha 90.00
_cell_angle_beta 90.00
_cell_angle_gamma 120.00
_space_group_name_H-M_alt 'R -3 m'
_space_group_IT_number 166
_space_group_name_Hall '-R 3 2"'
loop_
_atom_site_label
_atom_site_type_symbol
_atom_site_fract_x
_atom_site_fract_y
_atom_site_fract_z
Pr1 Pr 0.0000 0.0000 0.1712
Cd1 Cd 0.0000 0.3007 0.5000
Cd2 Cd 0.0000 0.5000 0.0000
Cd3 Cd 0.0168 0.5084 0.6478
Hg1 Hg 0.0000 0.0000 0.3958
```

Properties
calculated formation energy	-158	meV per atom
theoretical density	8835	kg/m³

***

Record 20
Material: Np2GaRu
Method: DFT, PBE
State: relaxed

```
data_Np2GaRu
_cell_length_a 2.8667
_cell_length_b 2.8667
_cell_length_c 30.4562
_cell_angle_alpha 90.00
_cell_angle_beta 90.00
_cell_angle_gamma 120.00
_space_group_name_H-M_alt 'R -3 m'
_space_group_IT_number 166
_space_group_name_Hall '-R 3 2"'
loop_
_atom_site_label
_atom_site_type_symbol
_atom_site_fract_x
_atom_site_fract_y
_atom_site_fract_z
Np1 Np 0.0000 0.0000 0.2461
Ga1 Ga 0.0000 0.0000 0.0000
Ru1 Ru 0.0000 0.0000 0.5000
```

Properties
calculated formation energy	120	meV per atom
theoretical density	14819	kg/m³
energy above the lowest structure with this stoichiometry	0.54	eV per formula unit